# PBE-GGA ScTa2, relaxed
data_ScTa2
_space_group_name_H-M_alt 'P 1'
_space_group_IT_number 1
_space_group_name_Hall 'P 1'
_cell_length_a 5.952
_cell_length_b 4.608
_cell_length_c 8.696
_cell_angle_alpha 90.00
_cell_angle_beta 90.00
_cell_angle_gamma 90.00
loop_
_atom_site_label
_atom_site_fract_x
_atom_site_fract_y
_atom_site_fract_z
_atom_site_occupancy
Sc1 0.343 0.750 0.414 1
Sc2 0.157 0.250 0.914 1
Ta1 0.472 0.750 0.767 1
Ta2 0.141 0.250 0.574 1
Sc3 0.843 0.750 0.086 1
Sc4 0.657 0.250 0.586 1
Ta3 0.859 0.750 0.426 1
Ta4 0.641 0.250 0.926 1
Ta5 0.028 0.250 0.267 1
Ta6 0.528 0.250 0.233 1
Ta7 0.972 0.750 0.733 1
Ta8 0.359 0.750 0.074 1
# * energy relative to the elements: 0.28 eV/atom
# * V: 238 Å³/cell
# * E above lowest polymorph: 0.119 eV per atom
# * calculated total energy: -116.8 eV for the cell shown